Compound: FeRh
Source: Alexandria
Functional: PBE
Structure: relaxed

a = 4.0282 Å, b = 4.0282 Å, c = 7.7929 Å
α = 90.00°, β = 90.00°, γ = 120.00°
Atoms (fractional coordinates):
Fe1 0.0000 0.0000 0.2500
Fe2 0.0000 0.0000 0.7500
Fe3 0.3333 0.6667 0.2500
Fe4 0.6667 0.3333 0.7500
Rh1 0.3333 0.6667 0.5816
Rh2 0.3333 0.6667 0.9184
Rh3 0.6667 0.3333 0.0816
Rh4 0.6667 0.3333 0.4184

Summary:
The calculation puts the total energy at -61.03 eV per cell.

***

Compound: FeRh
Source: Alexandria
Functional: PBE
Structure: relaxed

a = 10.7459 Å, b = 10.7459 Å, c = 2.6205 Å
α = 90.00°, β = 90.00°, γ = 90.00°
Atoms (fractional coordinates):
Fe1 0.0135 0.8322 0.0000
Fe2 0.0874 0.4103 0.5000
Fe3 0.1678 0.0135 0.0000
Fe4 0.4103 0.9126 0.5000
Fe5 0.5897 0.0874 0.5000
Fe6 0.8322 0.9865 0.0000
Fe7 0.9126 0.5897 0.5000
Fe8 0.9865 0.1678 0.0000
Rh1 0.1273 0.6306 0.5000
Rh2 0.2028 0.2501 0.0000
Rh3 0.2501 0.7972 0.0000
Rh4 0.3694 0.1273 0.5000
Rh5 0.6306 0.8727 0.5000
Rh6 0.7499 0.2028 0.0000
Rh7 0.7972 0.7499 0.0000
Rh8 0.8727 0.3694 0.5000

Summary:
The calculation puts the total energy at -117.20 eV per cell.

***

Compound: Fe4Rh
Source: Alexandria
Functional: PBE
Structure: relaxed

a = 10.4452 Å, b = 10.3269 Å, c = 2.5690 Å
α = 85.52°, β = 80.28°, γ = 14.19°
Atoms (fractional coordinates):
Fe1 0.1049 0.1049 0.8951
Fe2 0.2986 0.2986 0.7014
Fe3 0.7014 0.7014 0.2986
Fe4 0.8951 0.8951 0.1049
Rh1 0.5000 0.5000 0.5000

Summary:
The calculation puts the total energy at -40.91 eV per cell. The calculation puts the energy above the most stable polymorph in this dataset at 88 meV per atom.

***

Compound: FeRh2
Source: Alexandria
Functional: PBE
Structure: relaxed

a = 4.4861 Å, b = 8.4205 Å, c = 4.4356 Å
α = 90.00°, β = 90.00°, γ = 90.00°
Atoms (fractional coordinates):
Fe1 0.0000 0.1687 0.0000
Fe2 0.0000 0.8313 0.0000
Fe3 0.5000 0.3313 0.0000
Fe4 0.5000 0.6687 0.0000
Rh1 0.0000 0.0000 0.5000
Rh2 0.0000 0.3283 0.5000
Rh3 0.0000 0.5000 0.0000
Rh4 0.0000 0.6717 0.5000
Rh5 0.5000 0.0000 0.0000
Rh6 0.5000 0.1717 0.5000
Rh7 0.5000 0.5000 0.5000
Rh8 0.5000 0.8283 0.5000

Summary:
The calculation puts the total energy at -90.93 eV per cell.

***

Number 1: formation energy 27 kJ per mole of atoms, M_tot 1.2403 μB per atom. Number 2: formation energy 56 kJ per mole of atoms, M_tot 1.6488 μB per atom. Number 3: formation energy 6 kJ per mole of atoms, M_tot 2.2221 μB per atom. Number 4: formation energy 14 kJ per mole of atoms, M_tot 1.3634 μB per atom.